Version a
# Sc2GeSe | the Alexandria database | PBEsol | optimized geometry
data_Sc2GeSe
_cell_length_a 3.5456
_cell_length_b 3.5456
_cell_length_c 25.6857
_cell_angle_alpha 90.00
_cell_angle_beta 90.00
_cell_angle_gamma 120.00
_symmetry_space_group_name_H-M 'R -3 m'
_symmetry_Int_Tables_number 166
_symmetry_space_group_name_Hall '-R 3 2"'
loop_
_atom_site_label
_atom_site_type_symbol
_atom_site_fract_x
_atom_site_fract_y
_atom_site_fract_z
Sc1 Sc 0.0000 0.0000 0.1031
Ge1 Ge 0.0000 0.0000 0.0000
Se1 Se 0.0000 0.0000 0.5000
# Total magnetization = 0.00 μB/f.u.

=====

Version b
# Sc2GeSe | the Alexandria database | PBEsol | optimized geometry
data_Sc2GeSe
_cell_length_a 6.725
_cell_length_b 6.725
_cell_length_c 6.725
_cell_angle_alpha 90.00
_cell_angle_beta 90.00
_cell_angle_gamma 90.00
_symmetry_space_group_name_H-M 'F m -3 m'
_symmetry_Int_Tables_number 225
_symmetry_space_group_name_Hall '-F 4 2 3'
loop_
_atom_site_label
_atom_site_type_symbol
_atom_site_fract_x
_atom_site_fract_y
_atom_site_fract_z
Sc1 Sc 0.250 0.250 0.250
Ge1 Ge 0.000 0.000 0.000
Se1 Se 0.000 0.000 0.500
# Total magnetization = 0.00 μB/f.u.

=====

Which is the most stable structure? version b is the most stable.

=====

Version a
# GeTeSe2 | the Alexandria database | PBEsol | optimized geometry
data_GeTeSe2
_cell_length_a 3.7026
_cell_length_b 3.7026
_cell_length_c 25.6351
_cell_angle_alpha 90.00
_cell_angle_beta 90.00
_cell_angle_gamma 120.00
_symmetry_space_group_name_H-M 'R -3 m'
_symmetry_Int_Tables_number 166
_symmetry_space_group_name_Hall '-R 3 2"'
loop_
_atom_site_label
_atom_site_type_symbol
_atom_site_fract_x
_atom_site_fract_y
_atom_site_fract_z
Ge1 Ge 0.0000 0.0000 0.0000
Te1 Te 0.0000 0.0000 0.5000
Se1 Se 0.0000 0.0000 0.3942
# Total magnetization = 0.00 μB/f.u.

=====

Version b
# GeTeSe2 | the Alexandria database | PBEsol | optimized geometry
data_GeTeSe2
_cell_length_a 6.970
_cell_length_b 6.970
_cell_length_c 6.970
_cell_angle_alpha 90.00
_cell_angle_beta 90.00
_cell_angle_gamma 90.00
_symmetry_space_group_name_H-M 'F m -3 m'
_symmetry_Int_Tables_number 225
_symmetry_space_group_name_Hall '-F 4 2 3'
loop_
_atom_site_label
_atom_site_type_symbol
_atom_site_fract_x
_atom_site_fract_y
_atom_site_fract_z
Ge1 Ge 0.000 0.000 0.000
Te1 Te 0.000 0.000 0.500
Se1 Se 0.250 0.250 0.250
# Total magnetization = 0.00 μB/f.u.

=====

Which is the most stable structure? version a is the most stable.

=====

Version a
# SiGeTe2 | the Alexandria database | PBEsol | optimized geometry
data_SiGeTe2
_cell_length_a 3.7527
_cell_length_b 3.7527
_cell_length_c 26.8831
_cell_angle_alpha 90.00
_cell_angle_beta 90.00
_cell_angle_gamma 120.00
_symmetry_space_group_name_H-M 'R -3 m'
_symmetry_Int_Tables_number 166
_symmetry_space_group_name_Hall '-R 3 2"'
loop_
_atom_site_label
_atom_site_type_symbol
_atom_site_fract_x
_atom_site_fract_y
_atom_site_fract_z
Si1 Si 0.0000 0.0000 0.0000
Ge1 Ge 0.0000 0.0000 0.5000
Te1 Te 0.0000 0.0000 0.3929
# Total magnetization = 0.00 μB/f.u.

=====

Version b
# SiGeTe2 | the Alexandria database | PBEsol | optimized geometry
data_SiGeTe2
_cell_length_a 7.407
_cell_length_b 7.407
_cell_length_c 7.609
_cell_angle_alpha 90.00
_cell_angle_beta 90.00
_cell_angle_gamma 90.00
_symmetry_space_group_name_H-M 'I -4 2 d'
_symmetry_Int_Tables_number 122
_symmetry_space_group_name_Hall 'I -4 2bw'
loop_
_atom_site_label
_atom_site_type_symbol
_atom_site_fract_x
_atom_site_fract_y
_atom_site_fract_z
Si1 Si 0.000 0.000 0.000
Ge1 Ge 0.000 0.000 0.500
Te1 Te 0.235 0.250 0.125
# Total magnetization = 0.00 μB/f.u.

=====

Which is the most stable structure? version a is the most stable.

=====

Version a
# V10Si3Ge3 | the Alexandria database | PBEsol | optimized geometry
data_V10Si3Ge3
_cell_length_a 4.745
_cell_length_b 13.218
_cell_length_c 13.269
_cell_angle_alpha 90.00
_cell_angle_beta 90.00
_cell_angle_gamma 90.00
_symmetry_space_group_name_H-M 'F m m 2'
_symmetry_Int_Tables_number 42
_symmetry_space_group_name_Hall 'F 2 -2'
loop_
_atom_site_label
_atom_site_type_symbol
_atom_site_fract_x
_atom_site_fract_y
_atom_site_fract_z
V1 V 0.000 0.097 0.000
V2 V 0.000 0.098 0.344
V3 V 0.000 0.173 0.575
V4 V 0.000 0.175 0.767
V5 V 0.248 0.000 0.169
Si1 Si 0.000 0.000 0.505
Si2 Si 0.000 0.165 0.171
Ge1 Ge 0.000 0.000 0.837
Ge2 Ge 0.250 0.250 0.421
# Total magnetization = 0.00 μB/f.u.

=====

Version b
# V10Si3Ge3 | the Alexandria database | PBEsol | optimized geometry
data_V10Si3Ge3
_cell_length_a 7.1256
_cell_length_b 7.1256
_cell_length_c 4.8008
_cell_angle_alpha 90.00
_cell_angle_beta 90.00
_cell_angle_gamma 120.00
_symmetry_space_group_name_H-M 'P -6 2 m'
_symmetry_Int_Tables_number 189
_symmetry_space_group_name_Hall 'P -6 -2'
loop_
_atom_site_label
_atom_site_type_symbol
_atom_site_fract_x
_atom_site_fract_y
_atom_site_fract_z
V1 V 0.0000 0.2587 0.0000
V2 V 0.0000 0.7798 0.5000
V3 V 0.3333 0.6667 0.2523
Si1 Si 0.0000 0.3990 0.5000
Ge1 Ge 0.0000 0.6124 0.0000
# Total magnetization = 0.00 μB/f.u.

=====

Which is the most stable structure? version a is the most stable.